A relaxed structure of BaTe2Ir, computed with PBE.

Cell: 5.274 5.274 5.274 Å, 70.93 70.93 70.93°
Sites, in units of the cell vectors:
Te 0.213 0.213 0.213
Te 0.787 0.787 0.787
Ba 0.500 0.500 0.500
Ir 0.000 0.000 0.000

Summary:
Calculated total energy in eV per atom: -4.45
Formation energy (no corrections) in kJ/mol of formula units: -72
E above lowest polymorph in kJ/mol of atoms: 49.0
Total magnetic moment in μB per atom: 0.0000